Entry 1:
A plane-wave DFT calculation with PBE was carried out for Ce2TiAs4Ir3 after structural relaxation.

Cell lengths 4.322, 4.322, 10.159 Å; angles 90.00, 90.00, 90.00 degrees
Atoms (fractional coordinates):
Ce  0.000  0.500  0.238
Ce  0.500  0.000  0.762
Ti  0.000  0.000  0.500
As  0.000  0.000  0.000
As  0.000  0.500  0.639
As  0.500  0.000  0.361
As  0.500  0.500  0.000
Ir  0.000  0.500  0.883
Ir  0.500  0.000  0.117
Ir  0.500  0.500  0.500

- DFT total energy: -7.320 eV per atom
- Density: 10.5 Mg/m³
- Energy of formation: -8.3 eV per formula unit
- Symmetry: P-4m2, No. 115

=====

Entry 2:
A plane-wave DFT calculation with PBE was carried out for Ce2UAs3Ir4 after structural relaxation.

Cell lengths 4.145, 4.145, 11.373 Å; angles 90.00, 90.00, 90.00 degrees
Atoms (fractional coordinates):
Ce  0.000  0.500  0.231
Ce  0.500  0.000  0.769
U  0.000  0.000  0.500
As  0.000  0.500  0.873
As  0.500  0.000  0.127
As  0.500  0.500  0.500
Ir  0.000  0.000  0.000
Ir  0.000  0.500  0.658
Ir  0.500  0.000  0.342
Ir  0.500  0.500  0.000

- DFT total energy: -7.948 eV per atom
- Density: 12.8 Mg/m³
- Energy of formation: -6.9 eV per formula unit
- Symmetry: P-4m2, No. 115

=====

Entry 3:
A plane-wave DFT calculation with PBE was carried out for Ce2VAs4Ir3 after structural relaxation.

Cell lengths 4.330, 4.330, 9.946 Å; angles 90.00, 90.00, 90.00 degrees
Atoms (fractional coordinates):
Ce  0.000  0.500  0.244
Ce  0.500  0.000  0.756
V  0.000  0.000  0.500
As  0.000  0.000  0.000
As  0.000  0.500  0.634
As  0.500  0.000  0.366
As  0.500  0.500  0.000
Ir  0.000  0.500  0.882
Ir  0.500  0.000  0.118
Ir  0.500  0.500  0.500

- DFT total energy: -7.386 eV per atom
- Density: 10.8 Mg/m³
- Energy of formation: -7.7 eV per formula unit
- Symmetry: P-4m2, No. 115

=====

Entry 4:
A plane-wave DFT calculation with PBE was carried out for K3Ce2NbAs6 after structural relaxation.

Cell lengths 7.201, 7.201, 8.140 Å; angles 98.51, 98.51, 120.02 degrees
Atoms (fractional coordinates):
K  0.000  0.000  0.000
K  0.328  0.672  0.000
K  0.672  0.328  0.000
Ce  0.166  0.834  0.500
Ce  0.834  0.166  0.500
Nb  0.500  0.500  0.500
As  0.129  0.436  0.309
As  0.259  0.259  0.693
As  0.436  0.129  0.309
As  0.564  0.871  0.691
As  0.741  0.741  0.307
As  0.871  0.564  0.691

- DFT total energy: -5.047 eV per atom
- Density: 4.5 Mg/m³
- Energy of formation: -7.4 eV per formula unit
- Symmetry: C2/m, No. 12

=====

Entry 5:
A plane-wave DFT calculation with PBE was carried out for KCeAsO5 after structural relaxation.

Cell lengths 6.238, 6.238, 8.017 Å; angles 104.25, 104.25, 105.90 degrees
Atoms (fractional coordinates):
K  0.168  0.832  0.750
K  0.832  0.168  0.250
Ce  0.500  0.500  0.000
Ce  0.500  0.500  0.500
As  0.182  0.818  0.250
As  0.818  0.182  0.750
O  0.101  0.257  0.896
O  0.193  0.629  0.375
O  0.257  0.101  0.396
O  0.371  0.807  0.125
O  0.434  0.566  0.750
O  0.566  0.434  0.250
O  0.629  0.193  0.875
O  0.743  0.899  0.604
O  0.807  0.371  0.625
O  0.899  0.743  0.104

- Uncorrected formation energy: -2.2592 eV/atom
- DFT total energy: -6.818 eV per atom
- Density: 4.1 Mg/m³
- Symmetry: C2/c, No. 15

=====

Entry 6:
A plane-wave DFT calculation with PBE was carried out for KCe2AsO8 after structural relaxation.

Cell lengths 4.717, 4.719, 8.045 Å; angles 91.30, 91.29, 91.06 degrees
Atoms (fractional coordinates):
K  0.000  0.000  0.000
Ce  0.480  0.480  0.714
Ce  0.520  0.520  0.286
As  0.000  0.000  0.500
O  0.168  0.795  0.325
O  0.205  0.832  0.675
O  0.282  0.281  0.488
O  0.390  0.388  0.001
O  0.610  0.612  0.999
O  0.718  0.719  0.512
O  0.795  0.168  0.325
O  0.832  0.205  0.675

- Uncorrected formation energy: -2.1193 eV/atom
- DFT total energy: -6.893 eV per atom
- Density: 4.8 Mg/m³
- Symmetry: P-1, No. 2

=====

Entry 7:
A plane-wave DFT calculation with PBE was carried out for K2CeAsO6 after structural relaxation.

Cell lengths 6.303, 6.303, 5.763 Å; angles 90.00, 90.00, 120.00 degrees
Atoms (fractional coordinates):
K  0.333  0.667  0.088
K  0.667  0.333  0.912
Ce  0.000  0.000  0.500
As  0.000  0.000  0.000
O  0.136  0.272  0.802
O  0.136  0.864  0.802
O  0.272  0.136  0.198
O  0.728  0.864  0.802
O  0.864  0.136  0.198
O  0.864  0.728  0.198

- Uncorrected formation energy: -1.8000 eV/atom
- DFT total energy: -6.053 eV per atom
- Density: 3.3 Mg/m³
- Symmetry: P-3m1, No. 164

=====

Entry 8:
A plane-wave DFT calculation with PBE was carried out for K2CeAs2O6 after structural relaxation.

Cell lengths 6.011, 6.011, 7.030 Å; angles 95.81, 95.81, 60.02 degrees
Atoms (fractional coordinates):
K  0.181  0.181  0.188
K  0.819  0.819  0.812
Ce  0.500  0.500  0.000
As  0.143  0.143  0.702
As  0.857  0.857  0.298
O  0.151  0.695  0.176
O  0.305  0.305  0.822
O  0.305  0.849  0.824
O  0.695  0.151  0.176
O  0.695  0.695  0.178
O  0.849  0.305  0.824

- Uncorrected formation energy: -2.0473 eV/atom
- DFT total energy: -6.336 eV per atom
- Density: 3.5 Mg/m³
- Symmetry: C2/m, No. 12

=====

Entry 9:
A plane-wave DFT calculation with PBE was carried out for KCeAs2O8 after structural relaxation.

Cell lengths 5.756, 5.756, 7.819 Å; angles 90.00, 90.00, 120.00 degrees
Atoms (fractional coordinates):
K  0.000  0.000  0.000
Ce  0.000  0.000  0.500
As  0.333  0.667  0.751
As  0.667  0.333  0.249
O  0.126  0.346  0.679
O  0.220  0.874  0.679
O  0.333  0.667  0.971
O  0.346  0.220  0.321
O  0.654  0.780  0.679
O  0.667  0.333  0.029
O  0.780  0.126  0.321
O  0.874  0.654  0.321

- Uncorrected formation energy: -1.7504 eV/atom
- DFT total energy: -6.417 eV per atom
- Density: 3.4 Mg/m³
- Symmetry: P-3, No. 147

=====

Entry 10:
A plane-wave DFT calculation with PBE was carried out for KCeAs2Pd2 after structural relaxation.

Cell lengths 4.307, 4.307, 8.941 Å; angles 90.00, 90.00, 120.00 degrees
Atoms (fractional coordinates):
K  0.000  0.000  0.000
Ce  0.000  0.000  0.500
As  0.333  0.667  0.297
As  0.667  0.333  0.703
Pd  0.333  0.667  0.723
Pd  0.667  0.333  0.277

- DFT total energy: -5.287 eV per atom
- Density: 6.3 Mg/m³
- Energy of formation: -5.0 eV per formula unit
- Symmetry: P-3m1, No. 164

=====

Entry 11:
A plane-wave DFT calculation with PBE was carried out for K2CeAsS4 after structural relaxation.

Cell lengths 8.350, 8.350, 8.350 Å; angles 119.98, 119.30, 90.62 degrees
Atoms (fractional coordinates):
K  0.000  0.000  0.000
K  0.500  0.000  0.000
K  0.500  0.000  0.500
K  0.500  0.500  0.500
Ce  0.000  0.500  0.500
Ce  0.500  0.500  0.000
As  0.000  0.000  0.500
As  0.000  0.500  0.000
S  0.196  0.739  0.457
S  0.218  0.261  0.957
S  0.228  0.253  0.525
S  0.228  0.703  0.975
S  0.772  0.297  0.025
S  0.772  0.747  0.475
S  0.782  0.739  0.043
S  0.804  0.261  0.543

- Uncorrected formation energy: -1.1121 eV/atom
- DFT total energy: -4.773 eV per atom
- Density: 3.4 Mg/m³
- Symmetry: Imma, No. 74

=====

Entry 12:
A plane-wave DFT calculation with PBE was carried out for K2CeAsS5 after structural relaxation.

Cell lengths 9.475, 9.475, 13.423 Å; angles 90.00, 90.00, 153.87 degrees
Atoms (fractional coordinates):
K  0.119  0.881  0.500
K  0.125  0.875  0.160
K  0.875  0.125  0.660
K  0.881  0.119  0.000
Ce  0.203  0.797  0.862
Ce  0.797  0.203  0.362
As  0.443  0.557  0.249
As  0.557  0.443  0.749
S  0.044  0.956  0.829
S  0.306  0.694  0.484
S  0.321  0.679  0.218
S  0.336  0.664  0.831
S  0.495  0.505  0.106
S  0.505  0.495  0.606
S  0.664  0.336  0.331
S  0.679  0.321  0.718
S  0.694  0.306  0.984
S  0.956  0.044  0.329

- Uncorrected formation energy: -1.0585 eV/atom
- DFT total energy: -4.771 eV per atom
- Density: 2.8 Mg/m³
- Symmetry: Cmc2_1, No. 36

=====

Entry 13:
A plane-wave DFT calculation with PBE was carried out for K3Ce2TaAs6 after structural relaxation.

Cell lengths 7.180, 7.180, 8.170 Å; angles 98.46, 98.46, 120.05 degrees
Atoms (fractional coordinates):
K  0.000  0.000  0.000
K  0.328  0.672  0.000
K  0.672  0.328  0.000
Ce  0.166  0.834  0.500
Ce  0.834  0.166  0.500
Ta  0.500  0.500  0.500
As  0.131  0.436  0.308
As  0.261  0.261  0.693
As  0.436  0.131  0.308
As  0.564  0.869  0.692
As  0.739  0.739  0.307
As  0.869  0.564  0.692

- DFT total energy: -5.197 eV per atom
- Density: 4.9 Mg/m³
- Energy of formation: -7.4 eV per formula unit
- Symmetry: C2/m, No. 12

=====

Entry 14:
A plane-wave DFT calculation with PBE was carried out for K3Ce2UAs6 after structural relaxation.

Cell lengths 7.521, 7.521, 7.964 Å; angles 99.07, 99.07, 120.00 degrees
Atoms (fractional coordinates):
K  0.000  0.000  0.000
K  0.330  0.670  0.000
K  0.670  0.330  0.000
Ce  0.167  0.833  0.500
Ce  0.833  0.167  0.500
U  0.500  0.500  0.500
As  0.121  0.438  0.315
As  0.244  0.244  0.685
As  0.438  0.121  0.315
As  0.562  0.879  0.685
As  0.756  0.756  0.315
As  0.879  0.562  0.685

- DFT total energy: -5.276 eV per atom
- Density: 4.9 Mg/m³
- Energy of formation: -9.0 eV per formula unit
- Symmetry: C2/m, No. 12

=====

Entry 15:
A plane-wave DFT calculation with PBE was carried out for LaCe6As8 after structural relaxation.

Cell lengths 8.424, 8.424, 8.424 Å; angles 60.00, 60.00, 60.00 degrees
Atoms (fractional coordinates):
La  0.000  0.000  0.000
Ce  0.000  0.000  0.500
Ce  0.000  0.500  0.000
Ce  0.000  0.500  0.500
Ce  0.500  0.000  0.000
Ce  0.500  0.000  0.500
Ce  0.500  0.500  0.000
As  0.250  0.250  0.250
As  0.254  0.254  0.746
As  0.254  0.746  0.254
As  0.254  0.746  0.746
As  0.746  0.254  0.254
As  0.746  0.254  0.746
As  0.746  0.746  0.254
As  0.750  0.750  0.750

- DFT total energy: -6.396 eV per atom
- Density: 6.2 Mg/m³
- Energy of formation: -18.2 eV per formula unit
- Symmetry: Fm-3m, No. 225

=====

Entry 16:
A plane-wave DFT calculation with PBE was carried out for LaCeAs2 after structural relaxation.

Cell lengths 4.266, 4.266, 14.185 Å; angles 90.00, 90.00, 120.00 degrees
Atoms (fractional coordinates):
La  0.333  0.667  0.250
La  0.667  0.333  0.750
Ce  0.000  0.000  0.000
Ce  0.000  0.000  0.500
As  0.333  0.667  0.618
As  0.333  0.667  0.882
As  0.667  0.333  0.118
As  0.667  0.333  0.382

- Relative energy among the computed polymorphs: 33 meV/atom
- DFT total energy: -6.506 eV per atom
- Density: 6.4 Mg/m³
- Energy of formation: -5.9 eV per formula unit
- Symmetry: P6_3/mmc, No. 194

=====

Entry 17:
A plane-wave DFT calculation with PBE was carried out for La2CeAs after structural relaxation.

Cell lengths 9.907, 9.907, 9.907 Å; angles 23.54, 23.54, 23.54 degrees
Atoms (fractional coordinates):
La  0.000  0.000  0.000
La  0.205  0.205  0.205
Ce  0.769  0.769  0.769
As  0.602  0.602  0.602

- Relative energy among the computed polymorphs: 0 meV/atom
- DFT total energy: -5.637 eV per atom
- Density: 6.0 Mg/m³
- Energy of formation: -2.1 eV per formula unit
- Symmetry: R3m, No. 160

=====

Entry 18:
A plane-wave DFT calculation with PBE was carried out for LaCe3As4 after structural relaxation.

Cell lengths 7.379, 7.379, 4.258 Å; angles 90.00, 90.00, 109.45 degrees
Atoms (fractional coordinates):
La  0.000  0.000  0.000
Ce  0.000  0.500  0.500
Ce  0.500  0.000  0.500
Ce  0.500  0.500  0.000
As  0.253  0.747  0.000
As  0.257  0.257  0.500
As  0.743  0.743  0.500
As  0.747  0.253  0.000

- DFT total energy: -6.622 eV per atom
- Density: 6.5 Mg/m³
- Energy of formation: -11.6 eV per formula unit
- Symmetry: Cmmm, No. 65

=====

Entry 19:
A plane-wave DFT calculation with PBE was carried out for La2CeAs after structural relaxation.

Cell lengths 9.877, 9.877, 9.877 Å; angles 23.64, 23.64, 23.64 degrees
Atoms (fractional coordinates):
La  0.231  0.231  0.231
La  0.769  0.769  0.769
Ce  0.000  0.000  0.000
As  0.500  0.500  0.500

- Relative energy among the computed polymorphs: 9 meV/atom
- DFT total energy: -5.628 eV per atom
- Density: 6.0 Mg/m³
- Energy of formation: -2.1 eV per formula unit
- Symmetry: R-3m, No. 166

=====

Entry 20:
A plane-wave DFT calculation with PBE was carried out for LaCeAs after structural relaxation.

Cell lengths 6.746, 6.746, 5.693 Å; angles 90.00, 90.00, 127.12 degrees
Atoms (fractional coordinates):
La  0.193  0.807  0.750
La  0.807  0.193  0.250
Ce  0.500  0.500  0.000
Ce  0.500  0.500  0.500
As  0.283  0.717  0.250
As  0.717  0.283  0.750

- DFT total energy: -5.731 eV per atom
- Density: 5.7 Mg/m³
- Energy of formation: -1.7 eV per formula unit
- Symmetry: Cmcm, No. 63